No. 1
DFT (GGA-PBE) results for a relaxed NbS3Cl crystal.

Density, g cm⁻³: 2.89
E above lowest polymorph, meV per atom: 0
Total magnetic moment, μB per formula unit: 0.1

Cell: 6.936 6.936 8.510 Å, 125.70 125.70 57.62°
Last column: magnetic moment on the atom in μB.
Fractional positions:
S: 0.879 0.182 0.805  -0.06
Cl: 0.209 0.209 0.673  -0.01
S: 0.182 0.879 0.805  -0.07
S: 0.121 0.818 0.195  -0.06
S: 0.818 0.121 0.195  -0.07
S: 0.688 0.688 0.660  0.00
Nb: 0.259 0.741 0.500  0.06
Nb: 0.741 0.259 0.500  0.06
S: 0.312 0.312 0.340  0.00
Cl: 0.791 0.791 0.327  -0.01

---

No. 2
DFT (GGA-PBE) results for a relaxed TbNbS2Cl2 crystal.

Density, g cm⁻³: 4.29
E_tot, eV/atom: -5.932
Total magnetic moment, μB per formula unit: 0.0

Cell: 3.658 5.176 7.907 Å, 90.00 90.00 90.00°
Fractional positions:
Tb: 0.000 0.500 0.878
S: 0.000 0.000 0.892
Nb: 0.500 0.000 0.117
Cl: 0.000 0.000 0.342
S: 0.500 0.500 0.134
Cl: 0.500 0.500 0.637